Entry 1:
Computed, not measured: crystalline In12BiPb16 at its relaxed geometry at the PBE-GGA level of DFT.

Cell and atoms, written as POSCAR:
```
In12BiPb16
1.0
6.021 -8.318 0.000
6.021 8.318 0.000
-5.591 0.000 8.681
In Bi Pb
12 1 16
Cartesian
0.000 0.000 0.000
1.667 5.168 3.256
0.106 0.000 3.175
3.942 6.748 4.807
7.556 3.159 0.021
5.350 1.571 1.686
1.667 -5.168 3.256
4.148 1.587 7.069
5.350 -1.571 1.686
7.556 -3.159 0.021
4.148 -1.587 7.069
3.942 -6.748 4.807
-2.365 0.000 7.817
-1.291 3.319 7.587
1.315 5.736 6.702
2.115 2.236 1.620
4.684 5.518 1.540
1.194 2.510 5.228
2.115 -2.236 1.620
4.497 3.454 4.353
1.081 0.000 7.615
-1.291 -3.319 7.587
3.367 0.000 4.116
1.194 -2.510 5.228
4.684 -5.518 1.540
6.816 0.000 4.433
1.315 -5.736 6.702
4.497 -3.454 4.353
8.776 0.000 1.667
```

## Properties
Density of states at the Fermi level in states/eV/atom: 0.46
Calculated volume in Å³/atom: 29.983
Magnetization in μB per formula unit: 0.00
Energy of formation from the pure elements in meV per atom: 30
Symmetry: No. 8



Entry 2:
Computed, not measured: crystalline SrTi2Co at its relaxed geometry at the PBE-GGA level of DFT.

Cell and atoms, written as POSCAR:
```
SrTi2Co
1.0
-2.563 2.563 7.917
2.563 -2.563 7.917
2.563 2.563 -7.917
Sr Ti Co
2 4 2
Cartesian
2.563 1.281 1.979
0.000 1.281 5.938
0.000 0.000 0.000
1.281 1.281 -3.959
1.281 -1.281 3.959
0.000 2.563 0.000
2.563 -1.281 5.938
0.000 3.844 1.979
```

## Properties
Density of states at the Fermi level in states/eV/atom: 2.32
Calculated volume in Å³/atom: 25.996
Magnetization in μB per formula unit: 0.00
Energy of formation from the pure elements in meV per atom: 780
Symmetry: No. 141



Entry 3:
Computed, not measured: crystalline Pm2Pd5Pb at its relaxed geometry at the PBE-GGA level of DFT.

Cell and atoms, written as POSCAR:
```
Pm2Pd5Pb
1.0
-3.191 3.191 4.022
3.191 -3.191 4.022
3.191 3.191 -4.022
Pm Pd Pb
2 5 1
Cartesian
3.191 0.000 0.000
0.000 3.191 0.000
0.000 0.000 0.052
1.806 1.806 1.921
1.385 -1.385 5.943
-1.385 1.385 5.943
1.385 1.385 5.943
0.000 0.000 3.043
```

## Properties
Density of states at the Fermi level in states/eV/atom: 0.29
Calculated volume in Å³/atom: 20.478
Magnetization in μB per formula unit: 0.00
Energy of formation from the pure elements in meV per atom: -643
Symmetry: No. 107



Entry 4:
Computed, not measured: crystalline Pr6MgAl at its relaxed geometry at the PBE-GGA level of DFT.

Cell and atoms, written as POSCAR:
```
Pr6MgAl
1.0
6.382 0.000 0.000
-0.318 6.384 0.000
-0.296 -0.304 6.383
Pr Mg Al
6 1 1
Cartesian
0.092 0.234 1.641
1.117 2.714 6.070
2.518 4.601 2.990
3.249 1.480 3.393
4.651 3.367 0.313
5.676 5.847 4.741
3.191 0.000 0.000
-0.307 3.040 3.191
```

## Properties
Density of states at the Fermi level in states/eV/atom: 1.13
Calculated volume in Å³/atom: 32.505
Magnetization in μB per formula unit: 0.00
Energy of formation from the pure elements in meV per atom: -23
Symmetry: No. 2



Entry 5:
Computed, not measured: crystalline MgIrRh2 at its relaxed geometry at the PBE-GGA level of DFT.

Cell and atoms, written as POSCAR:
```
MgIrRh2
1.0
4.581 -1.390 0.000
4.581 1.390 0.000
-0.858 0.000 4.628
Mg Ir Rh
1 1 2
Cartesian
0.000 0.000 0.000
1.611 0.000 3.291
4.145 0.000 2.335
6.721 0.000 1.046
```

## Properties
Density of states at the Fermi level in states/eV/atom: 1.07
Calculated volume in Å³/atom: 14.728
Magnetization in μB per formula unit: 0.00
Energy of formation from the pure elements in meV per atom: -225
Symmetry: No. 8



Entry 6:
Computed, not measured: crystalline SmHo4Sc2 at its relaxed geometry at the PBE-GGA level of DFT.

Cell and atoms, written as POSCAR:
```
SmHo4Sc2
1.0
5.420 0.000 0.000
0.000 6.770 0.000
-2.710 0.000 11.311
Sm Ho Sc
2 8 4
Cartesian
0.002 1.693 1.603
2.709 5.078 9.708
-0.002 5.078 1.760
-0.004 1.693 4.869
0.001 0.007 7.997
0.001 3.378 7.997
2.709 3.392 3.314
2.709 6.763 3.314
2.714 5.078 6.443
2.712 1.693 9.551
0.004 5.078 4.868
0.003 1.693 11.250
2.708 5.078 0.061
2.706 1.693 6.443
```

## Properties
Density of states at the Fermi level in states/eV/atom: 1.78
Calculated volume in Å³/atom: 29.647
Magnetization in μB per formula unit: 0.00
Energy of formation from the pure elements in meV per atom: 142
Symmetry: No. 11



Entry 7:
Computed, not measured: crystalline SrMgMo at its relaxed geometry at the PBE-GGA level of DFT.

Cell and atoms, written as POSCAR:
```
SrMgMo
1.0
-1.495 1.495 7.769
1.495 -1.495 7.769
1.495 1.495 -7.769
Sr Mg Mo
1 1 1
Cartesian
0.000 0.000 0.000
0.000 0.000 4.717
0.000 0.000 10.382
```

## Properties
Density of states at the Fermi level in states/eV/atom: 0.70
Calculated volume in Å³/atom: 23.154
Magnetization in μB per formula unit: 0.00
Energy of formation from the pure elements in meV per atom: 736
Symmetry: No. 107



Entry 8:
Computed, not measured: crystalline YHo2Sb at its relaxed geometry at the PBE-GGA level of DFT.

Cell and atoms, written as POSCAR:
```
YHo2Sb
1.0
1.996 1.152 9.447
-1.996 1.152 9.447
0.000 -2.304 9.447
Y Ho Sb
1 2 1
Cartesian
0.000 0.000 0.000
0.000 0.000 16.080
0.000 0.000 21.685
0.000 0.000 4.697
```

## Properties
Density of states at the Fermi level in states/eV/atom: 1.10
Calculated volume in Å³/atom: 32.581
Magnetization in μB per formula unit: 0.74
Symmetry: No. 160
Total energy in eV for the cell shown: -21.1